An optimized crystal structure of Na2SrCo, computed with PBE.

Properties
- symmetry = I-42d
- calculated density (g/cm3) = 2.61
- energy of formation from the pure elements (eV/atom) = 0.5778
- energy above the most stable polymorph in this dataset (meV per atom) = 0

Geometry as POSCAR:
```
Na2SrCo
1.0
4.4540 0.0000 0.0000
0.0000 4.4540 0.0000
2.2270 2.2270 12.3395
Na Co Sr
4 2 2
Cartesian
5.5676 5.4330 9.2546
1.2481 3.3405 3.0849
3.3405 3.4751 9.2546
3.2059 1.1135 3.0849
2.2270 4.4540 6.1697
2.2270 2.2270 0.0000
0.0000 0.0000 0.0000
4.4540 2.2270 6.1697
```

=====

An optimized crystal structure of NaSr2Co2, computed with PBE.

Properties
- symmetry = P4/mbm
- calculated density (g/cm3) = 3.67
- energy of formation from the pure elements (eV/atom) = 0.3840

Geometry as POSCAR:
```
NaSr2Co2
1.0
-5.0998 5.4140 3.3225
-2.4458 -5.6058 5.3806
3.1011 1.2541 2.7163
Sr Co Na
4 4 2
Cartesian
-3.9079 -0.3502 8.0411
-3.4563 3.2716 5.8534
-0.9881 -2.2093 5.5660
-0.5365 1.4125 3.3783
-6.0746 1.5813 6.2051
-1.4709 -1.7732 2.4980
-4.2906 -2.8809 6.2286
-3.2550 2.6891 2.4745
-3.7728 -0.0959 4.3516
0.0000 0.0000 0.0000
```